Record 1
First-principles (PBE) data for a relaxed Ca2Pm5Er crystal, as listed in Alexandria.

Properties
- Energy relative to the elements: 0.39 eV/f.u.

Cell lengths 11.177, 11.177, 11.177 Å; angles 153.22, 153.22, 38.23 degrees
Fractional positions:
Ca (0.250, 0.250, 0.000)
Ca (0.750, 0.750, 0.000)
Pm (0.000, 0.000, 0.000)
Pm (0.117, 0.617, 0.500)
Pm (0.383, 0.883, 0.500)
Pm (0.617, 0.117, 0.500)
Pm (0.883, 0.383, 0.500)
Er (0.500, 0.500, 0.000)



Record 2
First-principles (PBE) data for a relaxed CaPm6Er crystal, as listed in Alexandria.

Properties
- Energy relative to the elements: 0.36 eV/f.u.

Cell lengths 5.160, 5.160, 10.338 Å; angles 90.00, 90.00, 90.00 degrees
Fractional positions:
Ca (0.000, 0.000, 0.000)
Pm (0.000, 0.500, 0.258)
Pm (0.000, 0.500, 0.742)
Pm (0.500, 0.000, 0.258)
Pm (0.500, 0.000, 0.742)
Pm (0.500, 0.500, 0.000)
Pm (0.500, 0.500, 0.500)
Er (0.000, 0.000, 0.500)



Record 3
First-principles (PBE) data for a relaxed Ca2Pm15Er2 crystal, as listed in Alexandria.

Properties
- Energy relative to the elements: 4.42 eV/f.u.

Cell lengths 8.930, 8.930, 8.930 Å; angles 81.27, 81.27, 81.27 degrees
Fractional positions:
Ca (0.169, 0.169, 0.169)
Ca (0.831, 0.831, 0.831)
Pm (0.000, 0.500, 0.500)
Pm (0.137, 0.137, 0.647)
Pm (0.137, 0.647, 0.137)
Pm (0.206, 0.500, 0.794)
Pm (0.206, 0.794, 0.500)
Pm (0.353, 0.863, 0.863)
Pm (0.500, 0.000, 0.500)
Pm (0.500, 0.206, 0.794)
Pm (0.500, 0.500, 0.000)
Pm (0.500, 0.794, 0.206)
Pm (0.647, 0.137, 0.137)
Pm (0.794, 0.206, 0.500)
Pm (0.794, 0.500, 0.206)
Pm (0.863, 0.353, 0.863)
Pm (0.863, 0.863, 0.353)
Er (0.405, 0.405, 0.405)
Er (0.595, 0.595, 0.595)



Record 4
First-principles (PBE) data for a relaxed CaPm3Er crystal, as listed in Alexandria.

Properties
- Energy relative to the elements: 1.85 eV/f.u.
- Offset from the most stable computed form: 0.044 eV per atom

Cell lengths 12.276, 12.276, 12.276 Å; angles 29.18, 29.18, 29.18 degrees
Fractional positions:
Ca (0.167, 0.167, 0.167)
Ca (0.833, 0.833, 0.833)
Pm (0.082, 0.404, 0.749)
Pm (0.251, 0.918, 0.596)
Pm (0.404, 0.749, 0.082)
Pm (0.596, 0.251, 0.918)
Pm (0.749, 0.082, 0.404)
Pm (0.918, 0.596, 0.251)
Er (0.334, 0.334, 0.334)
Er (0.666, 0.666, 0.666)